[1]
VASP calculation (PBE-GGA) on a relaxed LiMgTc crystal.

POSCAR file:
```
LiMgTc
1.0
3.0699 0.0000 0.0000
0.0000 3.0699 0.0000
0.0000 0.0000 11.2141
Li Mg Tc
2 2 2
direct
0.2500 0.2500 0.0884 Li
0.7500 0.7500 0.9116 Li
0.2500 0.2500 0.7256 Mg
0.7500 0.7500 0.2744 Mg
0.2500 0.2500 0.4395 Tc
0.7500 0.7500 0.5605 Tc
```

Computed properties:
Final energy in eV per formula unit: -13.9

***

[2]
VASP calculation (PBE-GGA) on a relaxed Co2CuNi crystal.

POSCAR file:
```
Co2CuNi
1.0
1.2450 0.7188 8.3298
-1.2450 0.7188 8.3298
0.0000 -1.4377 8.3298
Co Cu Ni
2 1 1
direct
0.0000 0.0000 0.0000 Co
0.1711 0.1711 0.1711 Co
0.4188 0.4188 0.4188 Cu
0.5855 0.5855 0.5855 Ni
```

Computed properties:
Final energy in eV per formula unit: -23.8